Record 1
This record from Alexandria describes a geometry-optimized TmThIn structure. The functional is PBE-GGA.

```
TmThIn
1.0
-2.8383 -0.9680 -2.0211
3.2691 -1.2446 -3.9949
-1.3109 -3.6754 3.6012
Th Tm In
1 1 1
Direct
0.6903 0.3333 0.6667 Th
0.2323 0.6667 0.3333 Tm
0.0774 0.0000 0.0000 In
```

For the energy of formation, the calculation gives -0.08 eV per atom. Its distance to the lowest polymorph of the same formula is 18.1 kJ per mole of atoms. Its space-group type is P3m1 (156). For the total magnetization, the calculation gives 0.0 μB per cell.

Record 2
This record from Alexandria describes a geometry-optimized TmThIn2 structure. The functional is PBE-GGA.

```
TmThIn2
1.0
3.5490 0.0000 0.0000
1.7745 3.0735 0.0000
1.7745 1.0245 10.4360
Th In Tm
1 2 1
Direct
0.0000 0.0000 0.0000 Th
0.7541 0.7541 0.7376 In
0.2459 0.2459 0.2624 In
0.5000 0.5000 0.5000 Tm
```

For the energy of formation, the calculation gives -0.22 eV per atom. Its space-group type is R-3m (166). For the total magnetization, the calculation gives 0.0 μB per cell.

Record 3
This record from Alexandria describes a geometry-optimized Tm3ThIn3 structure. The functional is PBE-GGA.

```
Tm3ThIn3
1.0
5.5402 0.0000 0.0000
0.0000 8.9885 0.0000
0.0000 -4.4942 7.7843
Tm In Th
6 6 2
Direct
0.2500 0.3605 0.4552 Tm
0.7500 0.9053 0.3605 Tm
0.2500 0.0947 0.6395 Tm
0.2500 0.5448 0.9053 Tm
0.7500 0.4552 0.0947 Tm
0.7500 0.6395 0.5448 Tm
0.2500 0.8113 0.7683 In
0.7500 0.7683 0.9570 In
0.2500 0.9570 0.1887 In
0.7500 0.1887 0.2317 In
0.2500 0.2317 0.0430 In
0.7500 0.0430 0.8113 In
0.2500 0.6667 0.3333 Th
0.7500 0.3333 0.6667 Th
```

For the energy of formation, the calculation gives -0.15 eV per atom. Its space-group type is P6_3/m (176). For the total magnetization, the calculation gives 0.0 μB per cell.

Q: Among the records above, which one has the lowest energy of formation?
A: TmThIn2

Q: Among the records above, which one has the highest energy of formation?
A: TmThIn